Sc3IrO4: relaxed, GGA-PBE.

Computed properties:
Electronic total energy = -8.176 eV per atom

Cell lengths 6.1661, 11.0227, 6.1663 Å; angles 90.00, 118.93, 90.00 degrees
Space group C2/m (No. 12)
Asymmetric unit:
Sc (0.0000, 0.2090, 0.0000) [4 per cell]
Sc (0.0000, 0.2906, 0.5000) [4 per cell]
Sc (0.2448, 0.0000, 0.7453) [4 per cell]
Ir (0.2474, 0.5000, 0.7506) [4 per cell]
O (0.1211, 0.3599, 0.8779) [8 per cell]
O (0.1215, 0.1375, 0.3795) [8 per cell]



IrSeO4: relaxed, GGA-PBE.

Computed properties:
Electronic total energy = -5.922 eV per atom

Cell lengths 6.4091, 12.8627, 3.9087 Å; angles 90.00, 90.00, 90.00 degrees
Space group Ima2 (No. 46)
Asymmetric unit:
Ir (0.2500, 0.1549, 0.0000) [4 per cell]
Se (0.2500, 0.6200, 0.7297) [4 per cell]
O (0.0580, 0.6531, 0.4297) [8 per cell]
O (0.2500, 0.0126, 0.2332) [4 per cell]
O (0.2500, 0.1901, 0.4824) [4 per cell]